# 1
Density functional theory data (GGA-PBE) for a relaxed structure of Ho2LuN3. Values from VASP.

```
&SYSTEM
  ibrav = 0, nat = 6, ntyp = 3
/
ATOMIC_SPECIES
Ho 164.93 Ho.upf
Lu 174.97 Lu.upf
N 14.01 N.upf
CELL_PARAMETERS angstrom
3.4065 0.0000 0.0000
-1.7032 2.9501 0.0000
0.0000 0.0000 8.3417
ATOMIC_POSITIONS angstrom
Ho 0.0000 1.9667 2.7622
Ho 1.7032 0.9834 5.5795
Lu 0.0000 0.0000 0.0000
N 0.0000 0.0000 4.1708
N 0.0000 1.9667 6.9908
N 1.7032 0.9834 1.3508
```

Values from the calculation:
Symmetry = No. 164
Crystal system = trigonal
Magnetization = 0.00 μB/cell

***

# 2
Density functional theory data (GGA-PBE) for a relaxed structure of NbHgP2. Values from VASP.

```
&SYSTEM
  ibrav = 0, nat = 8, ntyp = 3
/
ATOMIC_SPECIES
Nb 92.91 Nb.upf
Hg 200.59 Hg.upf
P 30.97 P.upf
CELL_PARAMETERS angstrom
-2.9609 2.9609 5.5613
2.9609 -2.9609 5.5613
2.9609 2.9609 -5.5613
ATOMIC_POSITIONS angstrom
Nb 0.0000 0.0000 0.0000
Nb 0.0000 2.9609 2.7807
Hg 2.9609 0.0000 2.7807
Hg 0.0000 0.0000 5.5613
P 1.4804 1.3022 -1.3903
P 1.6586 -1.4804 6.9517
P 1.4804 1.6586 4.1710
P 1.3022 4.4413 1.3903
```

Values from the calculation:
Symmetry = No. 122
Crystal system = tetragonal
Magnetization = 0.03 μB/cell

***

# 3
Density functional theory data (GGA-PBE) for a relaxed structure of AgAs2Os. Values from VASP.

```
&SYSTEM
  ibrav = 0, nat = 4, ntyp = 3
/
ATOMIC_SPECIES
Ag 107.87 Ag.upf
As 74.92 As.upf
Os 190.23 Os.upf
CELL_PARAMETERS angstrom
0.0000 3.2301 3.2301
3.2301 0.0000 3.2301
3.2301 3.2301 0.0000
ATOMIC_POSITIONS angstrom
Ag 0.0000 0.0000 0.0000
As 1.6151 1.6151 1.6151
As 3.2301 3.2301 3.2301
Os 4.8452 4.8452 4.8452
```

Values from the calculation:
Symmetry = No. 216
Crystal system = cubic
Magnetization = 0.05 μB/cell

***

# 4
Density functional theory data (GGA-PBE) for a relaxed structure of CuSbCl6. Values from VASP.

```
&SYSTEM
  ibrav = 0, nat = 8, ntyp = 3
/
ATOMIC_SPECIES
Cu 63.55 Cu.upf
Sb 121.76 Sb.upf
Cl 35.45 Cl.upf
CELL_PARAMETERS angstrom
5.0574 0.0000 0.0000
-0.9099 5.8622 0.0000
-1.6058 -2.9478 7.9963
ATOMIC_POSITIONS angstrom
Cu 0.0000 0.0000 0.0000
Sb 3.5847 -0.4110 3.9251
Cl -1.1683 -1.1927 6.8587
Cl -0.4712 2.1751 7.6274
Cl 0.8139 4.1999 3.0987
Cl 2.2391 1.3121 4.8390
Cl 3.1192 3.9270 0.2720
Cl 4.0539 1.0870 1.9855
```

Values from the calculation:
Symmetry = No. 1
Crystal system = triclinic

***

# 5
Density functional theory data (GGA-PBE) for a relaxed structure of TmGeTeAuS2. Values from VASP.

```
&SYSTEM
  ibrav = 0, nat = 12, ntyp = 5
/
ATOMIC_SPECIES
Tm 168.93 Tm.upf
Ge 72.64 Ge.upf
Te 127.60 Te.upf
Au 196.97 Au.upf
S 32.06 S.upf
CELL_PARAMETERS angstrom
1.9817 -6.7552 0.0000
1.9817 6.7552 0.0000
0.0000 0.0000 11.2574
ATOMIC_POSITIONS angstrom
Tm 0.0000 0.0000 0.0000
Tm 0.0000 0.0000 5.6287
Ge 1.9817 3.4743 8.4431
Ge 1.9817 -3.4743 2.8144
Te 1.9817 5.2830 2.8144
Te 1.9817 -5.2830 8.4431
Au 1.9817 1.0728 2.8144
Au 1.9817 -1.0728 8.4431
S 1.9817 1.7417 0.5415
S 1.9817 1.7417 5.0872
S 1.9817 -1.7417 6.1702
S 1.9817 -1.7417 10.7160
```

Values from the calculation:
Symmetry = No. 63
Crystal system = orthorhombic
Magnetization = 0.00 μB/cell

***

# 6
Density functional theory data (GGA-PBE) for a relaxed structure of LiNbPO. Values from VASP.

```
&SYSTEM
  ibrav = 0, nat = 8, ntyp = 4
/
ATOMIC_SPECIES
Li 6.94 Li.upf
Nb 92.91 Nb.upf
P 30.97 P.upf
O 16.00 O.upf
CELL_PARAMETERS angstrom
4.9750 0.0000 0.0000
0.0000 4.9750 0.0000
0.0000 0.0000 4.3407
ATOMIC_POSITIONS angstrom
Li 1.2438 1.2438 0.0043
Li 3.7313 3.7313 4.3363
Nb 1.2438 3.7313 2.1703
Nb 3.7313 1.2438 2.1703
P 1.2438 1.2438 2.1750
P 3.7313 3.7313 2.1657
O 1.2438 3.7313 0.0000
O 3.7313 1.2438 0.0000
```

Values from the calculation:
Excess energy over the best structure of this formula in the dataset = 0.246 eV/atom
Symmetry = No. 129
Crystal system = tetragonal
Magnetization = 0.00 μB/cell

***

# 7
Density functional theory data (GGA-PBE) for a relaxed structure of PrTe2Pd2. Values from VASP.

```
&SYSTEM
  ibrav = 0, nat = 5, ntyp = 3
/
ATOMIC_SPECIES
Pr 140.91 Pr.upf
Te 127.60 Te.upf
Pd 106.42 Pd.upf
CELL_PARAMETERS angstrom
-2.5494 2.5494 4.6394
2.5494 -2.5494 4.6394
2.5494 2.5494 -4.6394
ATOMIC_POSITIONS angstrom
Pr 0.0000 0.0000 0.0000
Te 2.5494 0.0000 2.3197
Te 0.0000 2.5494 2.3197
Pd 0.0000 0.0000 3.2689
Pd 0.0000 0.0000 6.0099
```

Values from the calculation:
Excess energy over the best structure of this formula in the dataset = 0.076 eV/atom
Symmetry = No. 139
Crystal system = tetragonal
Magnetization = 0.00 μB/cell

***

# 8
Density functional theory data (GGA-PBE) for a relaxed structure of HfNbMo. Values from VASP.

```
&SYSTEM
  ibrav = 0, nat = 3, ntyp = 3
/
ATOMIC_SPECIES
Hf 178.49 Hf.upf
Nb 92.91 Nb.upf
Mo 95.94 Mo.upf
CELL_PARAMETERS angstrom
0.0000 3.1696 3.1696
3.1696 0.0000 3.1696
3.1696 3.1696 0.0000
ATOMIC_POSITIONS angstrom
Hf 0.0000 0.0000 0.0000
Nb 3.1696 3.1696 3.1696
Mo 1.5848 1.5848 1.5848
```

Values from the calculation:
Excess energy over the best structure of this formula in the dataset = 0.000 eV/atom
Calculated formation energy = 0.49 eV/atom
Symmetry = No. 216
Crystal system = cubic
Magnetization = 0.00 μB/cell

***

Number 1: density 10.83 Mg/m³, calculated total energy -8.228 eV per atom. Number 2: density 6.05 Mg/m³, calculated total energy -5.224 eV per atom. Number 3: density 11.04 Mg/m³, calculated total energy -4.984 eV per atom. Number 4: density 2.79 Mg/m³, calculated total energy -2.874 eV per atom. Number 5: density 6.95 Mg/m³, calculated total energy -4.653 eV per atom. Number 6: density 4.54 Mg/m³, calculated total energy -6.715 eV per atom. Number 7: density 8.38 Mg/m³, calculated total energy -4.954 eV per atom. Number 8: density 9.58 Mg/m³, calculated total energy -9.808 eV per atom.